[1]
Below is a relaxed CsPd2F5 crystal, with properties calculated at the GGA-PBEsol level.

It has space group Imma (No. 74), with a = 6.394 Å, b = 7.812 Å, c = 10.761 Å, α = 90.00°, β = 90.00° and γ = 90.00°. Symmetry generates all atoms from Cs at (0.000, 0.250, 0.109), Pd at (0.000, 0.000, 0.500), Pd at (0.250, 0.250, 0.750), F at (0.000, 0.250, 0.412) and F at (0.246, 0.072, 0.880).

=====

[2]
Below is a relaxed CsRb2PdF5 crystal, with properties calculated at the GGA-PBEsol level.

It has space group P4/mbm (No. 127), with a = 7.509 Å, b = 7.509 Å, c = 6.358 Å, α = 90.00°, β = 90.00° and γ = 90.00°. Symmetry generates all atoms from Cs at (0.000, 0.000, 0.000), Rb at (0.176, 0.324, 0.500), Pd at (0.000, 0.500, 0.000), F at (0.000, 0.000, 0.500) and F at (0.130, 0.630, 0.217).

=====

[3]
Below is a relaxed Cs2RbPdF6 crystal, with properties calculated at the GGA-PBEsol level.

It has space group I4/mmm (No. 139), with a = 6.449 Å, b = 6.449 Å, c = 9.576 Å, α = 90.00°, β = 90.00° and γ = 90.00°. Symmetry generates all atoms from Cs at (0.000, 0.500, 0.250), Rb at (0.000, 0.000, 0.000), Pd at (0.000, 0.000, 0.500), F at (0.000, 0.000, 0.273) and F at (0.215, 0.215, 0.500).

=====

| no. | formation energy without anion corrections (meV per atom) |
| --- | --- |
| 1 | -1602 |
| 2 | -2288 |
| 3 | -2253 |